FeWNO2 | GGA+U | optimized geometry

Cell lengths 3.9223, 3.9223, 4.0366 Å; angles 90.00, 90.00, 90.00 degrees
Sites, in units of the cell vectors:
1 Fe 0.0000 0.0000 0.0000
2 W 0.5000 0.5000 0.5000
3 N 0.5000 0.5000 0.0000
4 O 0.0000 0.5000 0.5000
5 O 0.5000 0.0000 0.5000

Output
* spin magnetization: 4.36 μB/f.u.
* VASP energy: -6.84 eV per atom
* crystal system: tetragonal